KNb2Al2: optimized geometry, GGA-PBE.

Results
DFT total energy = -5.535 eV/atom

Lattice parameters (Å, degrees): 8.7741 8.7741 2.7607 90.00 90.00 90.00
Sites, in units of the cell vectors:
Al  0.8273  0.6727  0.0000
Al  0.3273  0.8273  0.0000
K  0.5000  0.5000  0.0000
K  0.0000  0.0000  0.0000
Nb  0.8878  0.3878  0.5000
Nb  0.1122  0.6122  0.5000
Al  0.1727  0.3273  0.0000
Nb  0.3878  0.1122  0.5000
Al  0.6727  0.1727  0.0000
Nb  0.6122  0.8878  0.5000

KNb2Al2: optimized geometry, GGA-PBE.

Results
DFT total energy = -5.262 eV/atom

Lattice parameters (Å, degrees): 3.9781 3.9781 7.6375 74.90 74.90 90.00
Sites, in units of the cell vectors:
Al  0.3939  0.3939  0.2122
Nb  0.2500  0.7500  0.5000
K  0.0000  0.0000  0.0000
Al  0.6061  0.6061  0.7878
Nb  0.7500  0.2500  0.5000

K3NbAl: optimized geometry, GGA-PBE.

Results
DFT total energy = -2.029 eV/atom

Lattice parameters (Å, degrees): 6.4887 6.4887 6.4887 90.00 90.00 90.00
Each line ends with the local moment (μB).
Sites, in units of the cell vectors:
K  0.5000  0.0000  0.0000  -0.02
K  0.0000  0.0000  0.5000  -0.01
Al  0.0000  0.0000  0.0000  -0.15
Nb  0.5000  0.5000  0.5000  3.24
K  0.0000  0.5000  0.0000  -0.02

KNbAlO4: optimized geometry, GGA-PBE.

Results
E_form (uncorrected) = -2.30 eV/atom
DFT total energy = -7.259 eV/atom

Lattice parameters (Å, degrees): 6.0130 6.0130 6.0130 60.00 60.00 60.00
Each line ends with the local moment (μB).
Sites, in units of the cell vectors:
Nb  0.5000  0.5000  0.5000  0.60
O  0.8902  0.3699  0.3699  0.00
O  0.3699  0.3699  0.3699  0.00
K  0.7500  0.7500  0.7500  0.00
O  0.3699  0.8902  0.3699  0.00
Al  0.2500  0.2500  0.2500  0.01
O  0.3699  0.3699  0.8902  0.00

K2NbAlO6: optimized geometry, GGA-PBE.

Results
E_form (uncorrected) = -2.05 eV/atom
DFT total energy = -6.622 eV/atom

Lattice parameters (Å, degrees): 5.6038 5.6038 5.6038 60.00 60.00 60.00
Each line ends with the local moment (μB).
Sites, in units of the cell vectors:
O  0.2444  0.7556  0.7556  0.29
O  0.7556  0.2444  0.2444  0.29
O  0.2444  0.7556  0.2444  0.29
Nb  0.5000  0.5000  0.5000  -0.15
K  0.7500  0.7500  0.7500  0.00
O  0.7556  0.7556  0.2444  0.29
Al  0.0000  0.0000  0.0000  -0.01
O  0.2444  0.2444  0.7556  0.29
O  0.7556  0.2444  0.7556  0.29
K  0.2500  0.2500  0.2500  0.00

KNbAl2O6: optimized geometry, GGA-PBE.

Results
E_form (uncorrected) = -2.65 eV/atom
DFT total energy = -7.494 eV/atom

Lattice parameters (Å, degrees): 6.2061 7.3568 7.3568 105.49 76.40 76.40
Sites, in units of the cell vectors:
Al  0.6577  0.3110  0.4468
Nb  0.2500  0.2032  0.7968
O  0.5551  0.5759  0.6553
Nb  0.7500  0.7968  0.2032
O  0.7268  0.7464  0.9460
O  0.4712  0.7925  0.3658
O  0.2732  0.2536  0.0540
O  0.0288  0.6342  0.2075
K  0.7500  0.1022  0.8978
Al  0.8423  0.5532  0.6890
O  0.9449  0.3447  0.4241
K  0.2500  0.8978  0.1022
Al  0.1577  0.4468  0.3110
O  0.5288  0.2075  0.6342
O  0.4449  0.4241  0.3447
Al  0.3423  0.6890  0.5532
O  0.0551  0.6553  0.5759
O  0.7732  0.0540  0.2536
O  0.2268  0.9460  0.7464
O  0.9712  0.3658  0.7925

K2NbAlO5: optimized geometry, GGA-PBE.

Results
E_form (uncorrected) = -2.35 eV/atom
DFT total energy = -6.881 eV/atom

Lattice parameters (Å, degrees): 3.1734 7.6497 12.4538 90.00 90.00 101.97
Sites, in units of the cell vectors:
O  0.9336  0.8672  0.4973
O  0.7024  0.4048  0.1379
O  0.3064  0.6128  0.4255
O  0.0664  0.1328  0.9973
Nb  0.2150  0.4299  0.0387
O  0.3339  0.6678  0.0155
O  0.4900  0.9801  0.3054
O  0.2976  0.5952  0.6379
K  0.9356  0.8711  0.1553
Al  0.5696  0.1393  0.9207
O  0.5100  0.0199  0.8054
O  0.6661  0.3322  0.5155
Al  0.4304  0.8607  0.4207
Nb  0.7850  0.5701  0.5387
O  0.6936  0.3872  0.9255
K  0.1299  0.2598  0.3277
K  0.8701  0.7402  0.8277
K  0.0644  0.1289  0.6553

K2RbNbAl: optimized geometry, GGA-PBE.

Results
DFT total energy = -1.952 eV/atom

Lattice parameters (Å, degrees): 6.6315 6.7831 6.6315 90.00 90.00 90.00
Each line ends with the local moment (μB).
Sites, in units of the cell vectors:
K  0.5000  0.0000  0.0000  0.05
Al  0.5000  0.5000  0.5000  -0.06
Rb  0.0000  0.5000  0.0000  0.05
Nb  0.0000  0.0000  0.0000  3.39
K  0.0000  0.0000  0.5000  0.05

KNb2AlS: optimized geometry, GGA-PBE.

Results
E_form (uncorrected) = 2.31 eV/atom
DFT total energy = -3.512 eV/atom

Lattice parameters (Å, degrees): 4.7529 5.0323 4.7529 90.00 90.00 90.00
Each line ends with the local moment (μB).
Sites, in units of the cell vectors:
S  0.0000  0.5000  0.0000  0.01
Al  0.5000  0.5000  0.5000  -0.01
Nb  0.0000  0.0000  0.5000  0.38
Nb  0.5000  0.0000  0.0000  0.40
K  0.0000  0.0000  0.0000  0.05

K4Nd3AlO8: optimized geometry, GGA-PBE.

Results
E_form (uncorrected) = -2.41 eV/atom
DFT total energy = -6.296 eV/atom

Lattice parameters (Å, degrees): 6.9190 7.4405 7.1250 117.50 119.05 90.00
Sites, in units of the cell vectors:
Al  0.0000  0.5000  0.0000
O  0.1847  0.6613  0.9604
O  0.2759  0.3063  0.5518
K  0.5000  0.0000  0.0000
O  0.7757  0.6613  0.9604
O  0.2243  0.3387  0.0396
Nd  0.0000  0.5000  0.5000
Nd  0.5000  0.5000  0.0000
Nd  0.5000  0.5000  0.5000
O  0.7404  0.2770  0.4808
K  0.0000  0.0000  0.5000
O  0.2596  0.7230  0.5192
K  0.5000  0.0000  0.5000
O  0.8153  0.3387  0.0396
K  0.0000  0.0000  0.0000
O  0.7241  0.6937  0.4482

K3NdAl2O6: optimized geometry, GGA-PBE.

Results
E_form (uncorrected) = -2.35 eV/atom
DFT total energy = -6.121 eV/atom

Lattice parameters (Å, degrees): 6.1344 6.1344 7.1974 90.00 90.00 120.00
Sites, in units of the cell vectors:
O  0.8273  0.1727  0.7117
Al  0.6667  0.3333  0.7135
O  0.6546  0.8273  0.2883
O  0.1727  0.3454  0.2883
K  0.3333  0.6667  0.7506
K  0.6667  0.3333  0.2494
Al  0.3333  0.6667  0.2865
O  0.8273  0.6546  0.7117
O  0.1727  0.8273  0.2883
Nd  0.0000  0.0000  0.5000
K  0.0000  0.0000  0.0000
O  0.3454  0.1727  0.7117

KNd2AlO5: optimized geometry, GGA-PBE.

Results
E_form (uncorrected) = -2.93 eV/atom
DFT total energy = -7.280 eV/atom

Lattice parameters (Å, degrees): 6.8414 6.8414 7.3477 117.75 117.75 90.00
Sites, in units of the cell vectors:
Al  0.7500  0.2500  0.5000
O  0.0050  0.5050  0.2767
O  0.7283  0.2283  0.7233
O  0.0000  0.0000  0.0000
O  0.4950  0.7283  0.7233
Al  0.2500  0.7500  0.5000
Nd  0.8179  0.6821  0.0000
O  0.5000  0.5000  0.0000
O  0.7717  0.0050  0.2767
Nd  0.1821  0.3179  0.0000
O  0.9950  0.4950  0.7233
K  0.2500  0.2500  0.5000
O  0.5050  0.2717  0.2767
Nd  0.6821  0.1821  0.0000
O  0.2283  0.9950  0.7233
O  0.2717  0.7717  0.2767
K  0.7500  0.7500  0.5000
Nd  0.3179  0.8179  0.0000

Copy entry 5 word for word.
K2NbAlO6: optimized geometry, GGA-PBE.

Results
E_form (uncorrected) = -2.05 eV/atom
DFT total energy = -6.622 eV/atom

Lattice parameters (Å, degrees): 5.6038 5.6038 5.6038 60.00 60.00 60.00
Each line ends with the local moment (μB).
Sites, in units of the cell vectors:
O  0.2444  0.7556  0.7556  0.29
O  0.7556  0.2444  0.2444  0.29
O  0.2444  0.7556  0.2444  0.29
Nb  0.5000  0.5000  0.5000  -0.15
K  0.7500  0.7500  0.7500  0.00
O  0.7556  0.7556  0.2444  0.29
Al  0.0000  0.0000  0.0000  -0.01
O  0.2444  0.2444  0.7556  0.29
O  0.7556  0.2444  0.7556  0.29
K  0.2500  0.2500  0.2500  0.00

> Which of these has the highest DFT total energy?

K2RbNbAl

Please write out number 10 again, unchanged.
K4Nd3AlO8: optimized geometry, GGA-PBE.

Results
E_form (uncorrected) = -2.41 eV/atom
DFT total energy = -6.296 eV/atom

Lattice parameters (Å, degrees): 6.9190 7.4405 7.1250 117.50 119.05 90.00
Sites, in units of the cell vectors:
Al  0.0000  0.5000  0.0000
O  0.1847  0.6613  0.9604
O  0.2759  0.3063  0.5518
K  0.5000  0.0000  0.0000
O  0.7757  0.6613  0.9604
O  0.2243  0.3387  0.0396
Nd  0.0000  0.5000  0.5000
Nd  0.5000  0.5000  0.0000
Nd  0.5000  0.5000  0.5000
O  0.7404  0.2770  0.4808
K  0.0000  0.0000  0.5000
O  0.2596  0.7230  0.5192
K  0.5000  0.0000  0.5000
O  0.8153  0.3387  0.0396
K  0.0000  0.0000  0.0000
O  0.7241  0.6937  0.4482